1.
# La2Ni2O5 PBE+U relaxed
data_La2Ni2O5
_symmetry_space_group_name_H-M 'I m a 2'
_symmetry_Int_Tables_number 46
_cell_length_a 15.7937
_cell_length_b 5.7039
_cell_length_c 5.4723
_cell_angle_alpha 90.00
_cell_angle_beta 90.00
_cell_angle_gamma 90.00
loop_
_symmetry_equiv_pos_as_xyz
'x,y,z'
'-x,-y,z'
'-x+1/2,y,z'
'x+1/2,-y,z'
'x+1/2,y+1/2,z+1/2'
'-x+1/2,-y+1/2,z+1/2'
'-x,y+1/2,z+1/2'
'x,-y+1/2,z+1/2'
loop_
_atom_site_label
_atom_site_fract_x
_atom_site_fract_y
_atom_site_fract_z
La1 0.1092 0.0150 0.0000
Ni1 0.0000 0.0000 0.4932
Ni2 0.2500 0.5567 0.0356
O1 0.0166 0.7445 0.2488
O2 0.1376 0.0730 0.4711
O3 0.2500 0.6131 0.4038
# **Total moment**: 16.000 Bohr magnetons per cell
# **Excess energy over the best structure of this formula in the dataset**: 0.000 eV/atom

---

2.
# BaV2BiO8 PBE+U relaxed
data_BaV2BiO8
_symmetry_space_group_name_H-M 'P -3'
_symmetry_Int_Tables_number 147
_cell_length_a 5.6459
_cell_length_b 5.6459
_cell_length_c 7.7542
_cell_angle_alpha 90.00
_cell_angle_beta 90.00
_cell_angle_gamma 120.00
loop_
_symmetry_equiv_pos_as_xyz
'x,y,z'
'-x,-y,-z'
'-y,x-y,z'
'y,-x+y,-z'
'-x+y,-x,z'
'x-y,x,-z'
loop_
_atom_site_label
_atom_site_fract_x
_atom_site_fract_y
_atom_site_fract_z
Ba1 0.0000 0.0000 0.0000
V1 0.3333 0.6667 0.7559
Bi1 0.0000 0.0000 0.5000
O1 0.0903 0.3305 0.6931
O2 0.3333 0.6667 0.9721
# **Total moment**: 0.172 Bohr magnetons per cell
# **VASP energy**: -6.91 eV/atom